Computed, not measured: Ac8SbTe4As3 after structural relaxation at the PBE-GGA level of DFT. Values from VASP.

Properties
**ρ**: 7.66 Mg/m³
**Size of the total moment**: 0.0 μB per cell
**Raw formation energy**: -146.0 kJ/mol of atoms
**N(E_F)**: 6.54 states/eV/f.u.
**SG**: R-3m, No. 166

```
&SYSTEM
  ibrav = 0, nat = 16, ntyp = 4
/
ATOMIC_SPECIES
Ac 227.00 Ac.upf
Sb 121.76 Sb.upf
Te 127.60 Te.upf
As 74.92 As.upf
CELL_PARAMETERS angstrom
4.6478 2.6834 7.7419
-4.6478 2.6834 7.7419
0.0000 -5.3669 7.7419
ATOMIC_POSITIONS crystal
Ac 0.2336 0.7475 0.7475
Ac 0.2410 0.2410 0.2410
Ac 0.2525 0.2525 0.7664
Ac 0.2525 0.7664 0.2525
Ac 0.7475 0.2336 0.7475
Ac 0.7475 0.7475 0.2336
Ac 0.7590 0.7590 0.7590
Ac 0.7664 0.2525 0.2525
Sb 0.5000 0.5000 0.5000
Te 0.0000 0.0000 0.0000
Te 0.0000 0.5000 0.5000
Te 0.5000 0.0000 0.5000
Te 0.5000 0.5000 0.0000
As 0.0000 0.0000 0.5000
As 0.0000 0.5000 0.0000
As 0.5000 0.0000 0.0000
```